# 1
4
Lattice="4.824 0.000 0.000 2.412 4.178 0.000 2.412 1.393 3.939" Properties=species:S:1:pos:R:3 comment="TbMgSnRu (PBE, relaxed)" crystal_system=cubic e_form_mev_per_atom=-257.4 total_energy_ha_per_atom=-0.1886 magmom_total_mub_per_cell=0.000 pbc="T T T"
Sn 4.824 2.785 1.970
Tb 0.000 0.000 0.000
Ru 7.237 4.178 2.954
Mg 2.412 1.393 0.985



# 2
4
Lattice="4.561 0.000 0.000 2.281 3.950 0.000 2.281 1.317 3.724" Properties=species:S:1:pos:R:3 comment="MgTiSnRu (PBE, relaxed)" crystal_system=cubic e_form_mev_per_atom=-301.6 total_energy_ha_per_atom=-0.2203 magmom_total_mub_per_cell=0.000 pbc="T T T"
Ti 6.842 3.950 2.793
Mg 4.561 2.633 1.862
Ru 0.000 0.000 0.000
Sn 2.281 1.317 0.931



# 3
4
Lattice="-4.119 2.037 -1.331 -2.292 -1.565 -3.897 -4.112 -2.404 0.447" Properties=species:S:1:pos:R:3 comment="TmMgSnRu (PBE, relaxed)" crystal_system=cubic e_form_mev_per_atom=-268.3 total_energy_ha_per_atom=-0.1876 magmom_total_mub_per_cell=0.000 pbc="T T T"
Sn -5.262 -0.966 -2.390
Mg -2.631 -0.483 -1.195
Tm 0.000 0.000 0.000
Ru -7.892 -1.449 -3.586



# 4
5
Lattice="-0.014 -3.530 3.499 1.577 -3.262 -3.284 4.704 1.119 1.148" Properties=species:S:1:pos:R:3 comment="Mg2SnRuW (PBE, relaxed)" crystal_system=tetragonal e_form_mev_per_atom=1739.1 total_energy_ha_per_atom=-0.1523 magmom_total_mub_per_cell=3.105 pbc="T T T"
Ru 0.789 -1.631 -1.642
Mg 2.352 0.559 0.574
Mg -0.007 -1.765 1.749
W 3.134 -2.836 0.681
Sn 0.000 0.000 0.000



# 5
5
Lattice="-2.802 -1.510 -0.473 2.123 -3.074 -2.766 1.530 -1.534 6.786" Properties=species:S:1:pos:R:3 comment="Mg2ZnSnRu (PBE, relaxed)" crystal_system=orthorhombic e_form_mev_per_atom=18.8 total_energy_ha_per_atom=-0.1297 magmom_total_mub_per_cell=0.005 pbc="T T T"
Ru -1.169 -1.499 0.768
Mg 0.690 -5.597 2.844
Mg 0.648 -2.082 2.811
Zn 1.159 -3.724 5.029
Sn 0.126 -3.786 0.398



# 6
4
Lattice="4.682 0.000 0.000 2.341 4.054 0.000 2.341 1.351 3.823" Properties=species:S:1:pos:R:3 comment="MgZrSnRu (PBE, relaxed)" crystal_system=cubic e_form_mev_per_atom=-365.9 total_energy_ha_per_atom=-0.2286 magmom_total_mub_per_cell=0.000 pbc="T T T"
Mg 0.000 0.000 0.000
Ru 4.682 2.703 1.911
Sn 7.023 4.054 2.867
Zr 2.341 1.351 0.956



# 7
5
Lattice="-4.269 3.683 -1.197 -0.284 -2.075 -5.371 -3.863 -3.919 1.718" Properties=species:S:1:pos:R:3 comment="Sr3MgRu (PBE, relaxed)" e_above_lowest_polymorph_ev_per_atom=0.000 crystal_system=cubic e_form_mev_per_atom=265.8 total_energy_ha_per_atom=-0.1072 magmom_total_mub_per_cell=0.000 pbc="T T T"
Sr -2.135 1.842 -0.599
Sr -1.931 -1.959 0.859
Sr -0.142 -1.037 -2.685
Mg -4.208 -1.155 -2.425
Ru 0.000 0.000 0.000



# 8
5
Lattice="4.617 0.000 0.000 0.000 4.617 0.000 2.308 2.308 5.220" Properties=species:S:1:pos:R:3 comment="SrMg2Ru2 (PBE, relaxed)" e_above_lowest_polymorph_ev_per_atom=0.011 crystal_system=tetragonal e_form_mev_per_atom=255.4 total_energy_ha_per_atom=-0.1628 magmom_total_mub_per_cell=1.817 pbc="T T T"
Sr 0.000 0.000 0.000
Ru 4.617 4.617 4.053
Ru 2.308 2.308 1.167
Mg 4.617 2.308 2.610
Mg 2.308 4.617 2.610



# 9
8
Lattice="10.862 0.000 0.000 0.000 10.862 0.000 5.431 5.431 2.561" Properties=species:S:1:pos:R:3 comment="Sr2MgRu (PBE, relaxed)" crystal_system=tetragonal e_form_mev_per_atom=359.5 total_energy_ha_per_atom=-0.1176 magmom_total_mub_per_cell=0.000 pbc="T T T"
Mg 5.431 5.431 0.000
Mg 5.431 10.862 1.280
Ru 10.862 5.431 1.280
Ru 0.000 0.000 0.000
Sr 13.578 4.556 1.920
Sr 8.147 6.307 1.920
Sr 11.738 8.147 0.640
Sr 9.987 2.716 0.640



# 10
4
Lattice="-0.015 -3.659 0.330 0.523 -0.329 -3.621 8.637 0.076 1.239" Properties=species:S:1:pos:R:3 comment="Sr2MgRu (PBE, relaxed)" crystal_system=tetragonal e_form_mev_per_atom=321.4 total_energy_ha_per_atom=-0.1190 magmom_total_mub_per_cell=0.000 pbc="T T T"
Sr 4.750 0.042 0.682
Sr 8.205 0.072 1.177
Ru 6.731 -1.937 -0.716
Mg 2.413 -1.975 -1.336



# 11
6
Lattice="1.520 -1.100 5.469 -3.832 -2.323 3.655 0.645 -5.464 1.778" Properties=species:S:1:pos:R:3 comment="SrMg4Ru (PBE, relaxed)" crystal_system=cubic e_form_mev_per_atom=298.0 total_energy_ha_per_atom=-0.0952 magmom_total_mub_per_cell=0.724 pbc="T T T"
Sr 0.000 0.000 0.000
Mg -2.519 -4.493 5.910
Mg -0.309 -6.044 4.983
Mg -0.628 -3.347 4.106
Mg 0.123 -3.890 6.805
Ru -1.250 -6.665 8.177



# 12
10
Lattice="8.020 0.000 0.000 0.000 8.020 0.000 0.000 0.000 3.109" Properties=species:S:1:pos:R:3 comment="SrMg2Ru2 (PBE, relaxed)" e_above_lowest_polymorph_ev_per_atom=0.000 crystal_system=tetragonal e_form_mev_per_atom=244.1 total_energy_ha_per_atom=-0.1632 magmom_total_mub_per_cell=1.897 pbc="T T T"
Mg 6.620 2.610 1.554
Mg 1.400 5.410 1.554
Mg 2.610 1.400 1.554
Mg 5.410 6.620 1.554
Ru 4.878 0.868 0.000
Ru 0.868 3.142 0.000
Ru 7.152 4.878 0.000
Ru 3.142 7.152 0.000
Sr 4.010 4.010 0.000
Sr 0.000 0.000 0.000